H2Ru2O: optimized geometry, PBE-GGA.

It has space group P4/mbm (No. 127), with a = 5.4298 Å, b = 5.4298 Å, c = 2.7494 Å, α = 90.00°, β = 90.00° and γ = 90.00°. Symmetry generates all atoms from H at (0.1312, 0.3688, 0.0000), Ru at (0.1952, 0.6952, 0.5000) and O at (0.0000, 0.0000, 0.0000).

The calculation puts the theoretical density at 9.02 g/cm3. Its volume is 81.1 Å³/cell. The total energy comes out at -5.5468 eV/atom. The calculation puts the density of states at the Fermi level at 4.19 states/eV/f.u.


NbZnAu: optimized geometry, PBE-GGA.

It has space group Cmcm (No. 63), with a = 2.9430 Å, b = 17.2793 Å, c = 4.0374 Å, α = 90.00°, β = 90.00° and γ = 90.00°. Symmetry generates all atoms from Nb at (0.0000, 0.2083, 0.2500), Zn at (0.0000, 0.0440, 0.2500) and Au at (0.0000, 0.3870, 0.2500).

The calculation puts the theoretical density at 11.49 g/cm3. Its volume is 205.3 Å³/cell. The total energy comes out at -4.9203 eV/atom. The value obtained for the energy of formation is -0.0466 eV/atom. The calculation puts the density of states at the Fermi level at 1.41 states/eV/f.u.